Here is a geometry-optimized Tm2Pb2O7 structure from Alexandria via LeMat-Bulk. Energies are from PBEsol.

Unit cell a=7.456 b=7.456 c=7.456 alpha=60.00 beta=60.00 gamma=60.00
Atoms (fractional coordinates):
O 0.978 0.522 0.978
O 0.522 0.978 0.978
O 0.272 0.272 0.728
O 0.272 0.728 0.728
O 0.728 0.728 0.272
O 0.272 0.728 0.272
O 0.522 0.978 0.522
O 0.250 0.250 0.250
O 0.728 0.272 0.272
O 0.522 0.522 0.978
O 0.978 0.522 0.522
O 0.000 0.000 0.000
O 0.728 0.272 0.728
O 0.978 0.978 0.522
Pb 0.125 0.625 0.625
Pb 0.625 0.625 0.625
Pb 0.625 0.125 0.625
Pb 0.625 0.625 0.125
Tm 0.625 0.125 0.125
Tm 0.125 0.125 0.125
Tm 0.125 0.625 0.125
Tm 0.125 0.125 0.625

Its total magnetization is 0.0 μB/f.u. For the formation energy from raw total energies, the calculation gives -2.144 eV per atom. Its crystal system is cubic.


Here is a geometry-optimized UPbO4 structure from Alexandria via LeMat-Bulk. Energies are from PBEsol.

Unit cell a=5.565 b=7.926 c=8.174 alpha=90.00 beta=90.00 gamma=90.00
Atoms (fractional coordinates):
U 0.000 0.000 0.000
U 0.000 0.000 0.500
U 0.000 0.500 0.000
U 0.000 0.500 0.500
O 0.868 0.038 0.250
O 0.301 0.587 0.922
O 0.132 0.538 0.250
O 0.132 0.962 0.750
O 0.699 0.413 0.078
O 0.699 0.087 0.578
O 0.843 0.750 0.000
O 0.301 0.587 0.578
O 0.843 0.750 0.500
O 0.157 0.250 0.500
O 0.868 0.462 0.750
O 0.699 0.087 0.922
O 0.157 0.250 0.000
O 0.301 0.913 0.422
O 0.301 0.913 0.078
O 0.699 0.413 0.422
Pb 0.498 0.702 0.250
Pb 0.502 0.202 0.250
Pb 0.502 0.298 0.750
Pb 0.498 0.798 0.750

Its total magnetization is 0.0 μB/f.u. For the formation energy from raw total energies, the calculation gives -2.469 eV per atom. Its crystal system is orthorhombic.


Here is a geometry-optimized UV2PbO9 structure from Alexandria via LeMat-Bulk. Energies are from PBEsol.

Unit cell a=6.870 b=9.684 c=11.577 alpha=90.00 beta=92.87 gamma=90.00
Atoms (fractional coordinates):
O 0.256 0.600 0.142
O 0.462 0.874 0.854
O 0.756 0.900 0.642
O 0.908 0.140 0.548
O 0.744 0.400 0.858
O 0.100 0.306 0.884
O 0.900 0.694 0.116
O 0.135 0.991 0.726
O 0.227 0.891 0.226
O 0.592 0.640 0.952
O 0.659 0.396 0.533
O 0.400 0.806 0.616
O 0.937 0.382 0.113
O 0.437 0.118 0.613
O 0.092 0.860 0.452
O 0.727 0.609 0.726
O 0.365 0.491 0.774
O 0.341 0.604 0.467
O 0.159 0.104 0.033
O 0.244 0.100 0.358
O 0.865 0.009 0.274
O 0.063 0.618 0.887
O 0.635 0.509 0.226
O 0.558 0.846 0.124
O 0.841 0.896 0.967
O 0.962 0.626 0.354
O 0.773 0.109 0.774
O 0.273 0.391 0.274
O 0.538 0.126 0.146
O 0.038 0.374 0.646
O 0.942 0.346 0.376
O 0.408 0.360 0.048
O 0.058 0.654 0.624
O 0.563 0.882 0.387
O 0.600 0.194 0.384
O 0.442 0.154 0.876
Pb 0.689 0.686 0.526
Pb 0.311 0.314 0.474
Pb 0.811 0.186 0.974
Pb 0.189 0.814 0.026
V 0.406 0.466 0.172
V 0.906 0.034 0.672
V 0.282 0.226 0.966
V 0.718 0.774 0.034
V 0.782 0.274 0.466
V 0.594 0.534 0.828
V 0.094 0.966 0.328
V 0.218 0.726 0.534
U 0.542 0.006 0.268
U 0.958 0.506 0.232
U 0.042 0.494 0.768
U 0.458 0.994 0.732

Its total magnetization is 0.0 μB/f.u. For the formation energy from raw total energies, the calculation gives -2.395 eV per atom. Its crystal system is monoclinic.


Here is a geometry-optimized V3Pb2O9 structure from Alexandria via LeMat-Bulk. Energies are from PBEsol.

Unit cell a=7.014 b=7.393 c=8.941 alpha=103.64 beta=101.84 gamma=116.92
Last column: magnetic moment on the atom in μB.
Atoms (fractional coordinates):
O 0.296 0.330 0.965  0.01
O 0.992 0.950 0.560  -0.01
O 0.226 0.219 0.426  -0.07
O 0.052 0.790 0.279  0.00
O 0.496 0.209 0.190  0.00
O 0.529 0.067 0.450  0.00
O 0.831 0.366 0.035  0.01
O 0.012 0.780 0.804  0.00
O 0.806 0.019 0.810  0.00
O 0.224 0.686 0.038  0.00
O 0.299 0.793 0.574  -0.07
O 0.579 0.617 0.550  0.00
O 0.244 0.510 0.282  0.00
O 0.932 0.390 0.440  -0.01
O 0.273 0.511 0.721  0.00
O 0.707 0.975 0.196  0.00
O 0.686 0.648 0.962  0.00
O 0.462 0.228 0.718  0.00
Pb 0.869 0.356 0.762  0.01
Pb 0.022 0.031 0.092  0.00
Pb 0.607 0.594 0.238  0.01
Pb 0.429 0.939 0.908  0.00
V 0.262 0.546 0.510  0.86
V 0.088 0.589 0.161  0.06
V 0.252 0.036 0.490  0.86
V 0.668 0.160 0.320  0.08
V 0.427 0.428 0.839  0.06
V 0.848 0.840 0.680  0.08

Its total magnetization is 1.0 μB/f.u. For the formation energy from raw total energies, the calculation gives -2.060 eV per atom. Its crystal system is monoclinic. Its relative energy among the computed polymorphs is 0.04 eV/f.u.


Here is a geometry-optimized V5Pb2O12 structure from Alexandria via LeMat-Bulk. Energies are from PBEsol.

Unit cell a=5.176 b=8.272 c=11.772 alpha=98.64 beta=90.00 gamma=90.00
Last column: magnetic moment on the atom in μB.
Atoms (fractional coordinates):
O 0.434 0.172 0.490  -0.06
O 0.009 0.213 0.330  -0.01
O 0.428 0.000 0.750  -0.07
O 0.434 0.828 0.010  -0.06
O 0.422 0.546 0.636  -0.06
O 0.991 0.787 0.670  -0.01
O 0.009 0.787 0.170  -0.01
O 0.566 0.828 0.510  -0.06
O 0.019 0.061 0.106  0.00
O 0.578 0.546 0.136  -0.06
O 0.033 0.365 0.030  -0.01
O 0.981 0.939 0.894  0.00
O 0.019 0.939 0.394  0.00
O 0.578 0.454 0.364  -0.06
O 0.572 0.000 0.250  -0.07
O 0.943 0.500 0.750  0.01
O 0.967 0.365 0.530  -0.01
O 0.566 0.172 0.990  -0.06
O 0.967 0.635 0.970  -0.01
O 0.981 0.061 0.606  0.00
O 0.422 0.454 0.864  -0.06
O 0.033 0.635 0.470  -0.01
O 0.057 0.500 0.250  0.01
O 0.991 0.213 0.830  -0.01
Pb 0.359 0.721 0.321  0.02
Pb 0.641 0.721 0.821  0.02
Pb 0.359 0.279 0.179  0.02
Pb 0.641 0.279 0.679  0.02
V 0.122 0.847 0.025  0.99
V 0.109 0.564 0.618  0.97
V 0.891 0.564 0.118  0.97
V 0.888 0.000 0.250  1.00
V 0.122 0.153 0.475  0.99
V 0.878 0.153 0.975  0.99
V 0.112 0.000 0.750  1.00
V 0.891 0.436 0.382  0.97
V 0.878 0.847 0.525  0.99
V 0.109 0.436 0.882  0.97

Its total magnetization is 5.0 μB/f.u. For the formation energy from raw total energies, the calculation gives -2.099 eV per atom. Its crystal system is monoclinic.


Here is a geometry-optimized V6PbO11 structure from Alexandria via LeMat-Bulk. Energies are from PBEsol.

Unit cell a=5.763 b=5.763 c=12.976 alpha=90.00 beta=90.00 gamma=120.00
Last column: magnetic moment on the atom in μB.
Atoms (fractional coordinates):
V 0.500 0.000 0.000  1.53
V 0.333 0.667 0.750  1.57
V 0.000 0.000 0.148  1.61
V 0.000 0.000 0.648  1.61
V 0.000 0.000 0.852  1.61
V 0.000 0.000 0.352  1.61
V 0.000 0.500 0.000  1.53
V 0.667 0.333 0.250  1.57
V 0.500 0.500 0.000  1.53
V 0.000 0.500 0.500  1.53
V 0.500 0.500 0.500  1.53
V 0.500 0.000 0.500  1.53
Pb 0.333 0.667 0.250  0.02
Pb 0.667 0.333 0.750  0.02
O 0.333 0.667 0.911  -0.02
O 0.667 0.333 0.089  -0.02
O 0.829 0.171 0.581  -0.04
O 0.333 0.667 0.589  -0.02
O 0.171 0.342 0.419  -0.04
O 0.667 0.333 0.411  -0.02
O 0.342 0.171 0.581  -0.04
O 0.829 0.658 0.581  -0.04
O 0.302 0.151 0.250  -0.03
O 0.171 0.829 0.419  -0.04
O 0.829 0.171 0.919  -0.04
O 0.849 0.698 0.250  -0.03
O 0.658 0.829 0.419  -0.04
O 0.171 0.342 0.081  -0.04
O 0.342 0.171 0.919  -0.04
O 0.151 0.849 0.750  -0.03
O 0.698 0.849 0.750  -0.03
O 0.829 0.658 0.919  -0.04
O 0.658 0.829 0.081  -0.04
O 0.849 0.151 0.250  -0.03
O 0.151 0.302 0.750  -0.03
O 0.171 0.829 0.081  -0.04

Its total magnetization is 9.9 μB/f.u. For the formation energy from raw total energies, the calculation gives -2.222 eV per atom. Its crystal system is hexagonal.


Here is a geometry-optimized V3Pb2O9 structure from Alexandria via LeMat-Bulk. Energies are from PBEsol.

Unit cell a=7.396 b=8.884 c=12.362 alpha=69.98 beta=86.92 gamma=78.26
Last column: magnetic moment on the atom in μB.
Atoms (fractional coordinates):
V 0.196 0.135 0.545  0.07
V 0.305 0.365 0.954  0.09
V 0.212 0.258 0.251  0.84
V 0.788 0.742 0.749  0.84
V 0.589 0.486 0.676  0.06
V 0.917 0.015 0.823  0.06
V 0.282 0.758 0.752  0.88
V 0.804 0.865 0.455  0.07
V 0.083 0.985 0.177  0.06
V 0.718 0.242 0.248  0.88
V 0.695 0.635 0.046  0.09
V 0.411 0.514 0.324  0.06
O 0.014 0.698 0.730  -0.07
O 0.678 0.502 0.545  0.00
O 0.197 0.328 0.085  0.00
O 0.195 0.927 0.604  0.00
O 0.984 0.258 0.526  0.00
O 0.059 0.791 0.236  0.00
O 0.517 0.194 0.235  -0.07
O 0.738 0.528 0.763  0.00
O 0.702 0.827 0.587  0.00
O 0.806 0.688 0.142  0.00
O 0.805 0.073 0.396  0.00
O 0.437 0.708 0.265  0.01
O 0.175 0.001 0.047  0.01
O 0.262 0.472 0.237  0.00
O 0.859 0.109 0.163  0.00
O 0.322 0.498 0.455  0.00
O 0.194 0.312 0.858  0.00
O 0.234 0.029 0.262  0.00
O 0.313 0.186 0.641  0.00
O 0.563 0.292 0.735  0.01
O 0.304 0.573 0.896  0.00
O 0.483 0.806 0.765  -0.07
O 0.016 0.742 0.474  0.00
O 0.298 0.173 0.413  0.00
O 0.941 0.209 0.764  0.00
O 0.519 0.244 0.975  0.00
O 0.366 0.612 0.662  0.00
O 0.634 0.388 0.338  0.00
O 0.481 0.756 0.025  0.00
O 0.986 0.302 0.270  -0.07
O 0.687 0.814 0.359  0.00
O 0.825 0.999 0.953  0.01
O 0.696 0.427 0.104  0.00
O 0.141 0.891 0.837  0.00
O 0.803 0.672 0.915  0.00
O 0.766 0.971 0.738  0.00
Pb 0.903 0.564 0.343  0.00
Pb 0.831 0.284 0.951  0.01
Pb 0.097 0.436 0.657  0.00
Pb 0.674 0.214 0.548  0.01
Pb 0.326 0.786 0.452  0.01
Pb 0.169 0.716 0.049  0.01
Pb 0.584 0.938 0.159  0.00
Pb 0.416 0.062 0.841  0.00

Its total magnetization is 1.0 μB/f.u. For the formation energy from raw total energies, the calculation gives -2.063 eV per atom. Its crystal system is triclinic. Its relative energy among the computed polymorphs is 0.00 eV/f.u.


Here is a geometry-optimized V3Pb5O12 structure from Alexandria via LeMat-Bulk. Energies are from PBEsol.

Unit cell a=7.341 b=10.029 c=10.029 alpha=120.00 beta=90.00 gamma=90.00
Atoms (fractional coordinates):
O 0.064 0.745 0.090
O 0.564 0.255 0.910
O 0.436 0.910 0.654
O 0.750 0.402 0.511
O 0.436 0.745 0.090
O 0.250 0.511 0.109
O 0.936 0.090 0.346
O 0.750 0.489 0.891
O 0.250 0.175 0.689
O 0.436 0.346 0.255
O 0.936 0.654 0.745
O 0.250 0.891 0.402
O 0.750 0.825 0.311
O 0.750 0.689 0.514
O 0.250 0.598 0.489
O 0.564 0.090 0.346
O 0.064 0.910 0.654
O 0.250 0.311 0.486
O 0.936 0.255 0.910
O 0.564 0.654 0.745
O 0.250 0.514 0.825
O 0.750 0.109 0.598
O 0.750 0.486 0.175
O 0.064 0.346 0.255
V 0.750 0.602 0.626
V 0.750 0.374 0.976
V 0.250 0.626 0.024
V 0.250 0.398 0.374
V 0.750 0.024 0.398
V 0.250 0.976 0.602
Pb 0.750 0.998 0.754
Pb 0.507 0.667 0.333
Pb 0.007 0.333 0.667
Pb 0.750 0.755 0.002
Pb 0.993 0.667 0.333
Pb 0.493 0.333 0.667
Pb 0.750 0.246 0.245
Pb 0.250 0.754 0.755
Pb 0.250 0.002 0.246
Pb 0.250 0.245 0.998

Its total magnetization is 0.0 μB/f.u. For the formation energy from raw total energies, the calculation gives -1.819 eV per atom. Its crystal system is hexagonal.